(1)
{"formula": "Fe2NiIr8", "functional": "PBE", "state": "optimized geometry", "lattice_angstrom": [[4.0667, 0.2312, -0.1479], [-0.4097, 6.0111, -1.8436], [0.1960, 0.5517, 6.2736]], "species": ["Fe", "Fe", "Ir", "Ir", "Ir", "Ir", "Ir", "Ir", "Ir", "Ir", "Ni"], "frac_coords": [[0.0000, 0.3823, 0.6177], [0.0000, 0.6177, 0.3823], [0.5002, 0.3364, 0.3364], [0.5000, 0.7459, 0.2541], [0.0006, 0.3004, 0.0306], [0.5000, 0.2541, 0.7459], [0.4998, 0.6636, 0.6636], [0.9994, 0.6996, 0.9694], [0.9994, 0.9694, 0.6996], [0.0006, 0.0306, 0.3004], [0.5000, 0.0000, 0.0000]], "e_tot_ev_per_atom": -8.2252, "formation_energy_mev_per_atom": 283}

---

(2)
{"formula": "Fe14NiIr", "functional": "PBE", "state": "optimized geometry", "lattice_angstrom": [[-3.4831, 2.6434, 2.3928], [-1.5629, -4.6927, -0.6166], [3.3442, -2.0511, 7.1339]], "species": ["Fe", "Fe", "Fe", "Fe", "Fe", "Fe", "Fe", "Fe", "Fe", "Fe", "Fe", "Fe", "Fe", "Fe", "Ni", "Ir"], "frac_coords": [[0.6251, 0.3749, 0.0000], [0.3753, 0.6247, 0.2490], [0.1251, 0.8749, 0.0000], [0.8747, 0.1253, 0.2490], [0.3719, 0.1219, 0.2444], [0.1250, 0.3749, 0.0000], [0.6251, 0.8750, 0.0000], [0.3753, 0.6247, 0.7510], [0.1250, 0.3751, 0.5000], [0.8747, 0.1253, 0.7510], [0.8781, 0.6281, 0.2444], [0.3719, 0.1219, 0.7556], [0.6249, 0.8750, 0.5000], [0.8781, 0.6281, 0.7556], [0.1249, 0.8751, 0.5000], [0.6250, 0.3750, 0.5000]], "e_tot_ev_per_atom": -8.3193, "formation_energy_mev_per_atom": 1}

---

(3)
{"formula": "FeNiIr3", "functional": "PBE", "state": "optimized geometry", "lattice_angstrom": [[4.4048, 0.0000, 0.0000], [0.0000, 4.4048, 0.0000], [0.0000, 0.0000, 4.4048]], "species": ["Ir", "Ir", "Ir", "Ni", "Fe"], "frac_coords": [[0.0000, 0.5000, 0.0000], [0.0000, 0.0000, 0.5000], [0.5000, 0.0000, 0.0000], [0.5000, 0.5000, 0.5000], [0.0000, 0.0000, 0.0000]], "e_tot_ev_per_atom": -6.5359, "de_polymorph_ev_per_atom": 1.1540, "formation_energy_mev_per_atom": 1629}